Computed, not measured: crystalline LaAlSbOs2 at its relaxed geometry at the PBE level of DFT.

The theoretical density is 7.70 Mg/m³. As for the crystal system: tetragonal. As for the total magnetization: 1.2 Bohr magnetons per cell. For the uncorrected formation energy, the calculation gives 2.217 eV/atom.

The structure belongs to space group P4/mmm (No. 123); the cell edges are 4.870, 4.870 and 6.077 Å and the angles 90.00°, 90.00° and 90.00°. The inequivalent atoms are La at (0.000, 0.000, 0.000), Al at (0.500, 0.500, 0.500), Sb at (0.000, 0.000, 0.500) and Os at (0.000, 0.500, 0.000).

Computed, not measured: crystalline LaScAl2Os at its relaxed geometry at the PBE level of DFT.

The theoretical density is 6.12 Mg/m³. As for the crystal system: tetragonal. As for the total magnetization: 0.0 Bohr magnetons per cell. The value obtained for the calculated formation energy is -0.30 eV per atom.

The structure belongs to space group P4/mmm (No. 123); the cell edges are 4.829, 4.829 and 4.983 Å and the angles 90.00°, 90.00° and 90.00°. The inequivalent atoms are La at (0.000, 0.000, 0.000), Sc at (0.500, 0.500, 0.000), Al at (0.000, 0.500, 0.500) and Os at (0.500, 0.500, 0.500).

Computed, not measured: crystalline LaTa2AlOs at its relaxed geometry at the PBE level of DFT.

The theoretical density is 10.09 Mg/m³. As for the crystal system: tetragonal. As for the total magnetization: 0.0 Bohr magnetons per cell. The value obtained for the calculated formation energy is 0.47 eV per atom.

The structure belongs to space group P4/mmm (No. 123); the cell edges are 4.975, 4.975 and 4.772 Å and the angles 90.00°, 90.00° and 90.00°. The inequivalent atoms are La at (0.000, 0.000, 0.000), Ta at (0.000, 0.500, 0.500), Al at (0.500, 0.500, 0.000) and Os at (0.500, 0.500, 0.500).

Computed, not measured: crystalline LaTi2AlOs at its relaxed geometry at the PBE level of DFT.

The theoretical density is 6.60 Mg/m³. As for the crystal system: tetragonal. As for the total magnetization: 1.5 Bohr magnetons per cell. The value obtained for the calculated formation energy is 0.04 eV per atom.

The structure belongs to space group P4/mmm (No. 123); the cell edges are 4.854, 4.854 and 4.827 Å and the angles 90.00°, 90.00° and 90.00°. The inequivalent atoms are La at (0.000, 0.000, 0.000), Ti at (0.000, 0.500, 0.500), Al at (0.500, 0.500, 0.000) and Os at (0.500, 0.500, 0.500).

Computed, not measured: crystalline LaAlVOs2 at its relaxed geometry at the PBE level of DFT.

The theoretical density is 9.90 Mg/m³. As for the crystal system: tetragonal. As for the total magnetization: 3.0 Bohr magnetons per cell. The value obtained for the calculated formation energy is 0.73 eV per atom.

The structure belongs to space group P4/mmm (No. 123); the cell edges are 4.642, 4.642 and 4.650 Å and the angles 90.00°, 90.00° and 90.00°. The inequivalent atoms are La at (0.000, 0.000, 0.000), Al at (0.500, 0.500, 0.500), V at (0.500, 0.500, 0.000) and Os at (0.000, 0.500, 0.500).

Computed, not measured: crystalline La2AlOsW at its relaxed geometry at the PBE level of DFT.

The excess energy over the best structure of this formula in the dataset comes out at 0.000 eV per atom. The theoretical density is 7.51 Mg/m³. As for the crystal system: tetragonal. As for the total magnetization: 0.0 Bohr magnetons per cell. The value obtained for the calculated formation energy is 0.60 eV per atom.

The structure belongs to space group P4/mmm (No. 123); the cell edges are 5.608, 5.608 and 4.771 Å and the angles 90.00°, 90.00° and 90.00°. The inequivalent atoms are La at (0.000, 0.500, 0.000), Al at (0.000, 0.000, 0.500), Os at (0.500, 0.500, 0.000) and W at (0.500, 0.500, 0.500).

Computed, not measured: crystalline La2AlOsW at its relaxed geometry at the PBE level of DFT.

The excess energy over the best structure of this formula in the dataset comes out at 0.616 eV per atom. The theoretical density is 8.22 Mg/m³. As for the crystal system: tetragonal. As for the total magnetization: 0.0 Bohr magnetons per cell. The value obtained for the calculated formation energy is 1.22 eV per atom.

The structure belongs to space group P4/mmm (No. 123); the cell edges are 5.350, 5.350 and 4.790 Å and the angles 90.00°, 90.00° and 90.00°. The inequivalent atoms are La at (0.000, 0.500, 0.000), Al at (0.000, 0.000, 0.500), Os at (0.500, 0.500, 0.500) and W at (0.000, 0.000, 0.000).

Computed, not measured: crystalline LaAl2ZnOs at its relaxed geometry at the PBE level of DFT.

The theoretical density is 6.82 Mg/m³. As for the crystal system: tetragonal. As for the total magnetization: 0.0 Bohr magnetons per cell. The value obtained for the calculated formation energy is -0.32 eV per atom.

The structure belongs to space group P4/mmm (No. 123); the cell edges are 4.729, 4.729 and 4.881 Å and the angles 90.00°, 90.00° and 90.00°. The inequivalent atoms are La at (0.000, 0.000, 0.000), Al at (0.000, 0.500, 0.500), Zn at (0.500, 0.500, 0.000) and Os at (0.500, 0.500, 0.500).

Among the records above, which one has the lowest theoretical density?
LaScAl2Os

What is the theoretical density in the sixth record?
7.51 Mg/m³